# LuHgB, optimized geometry, DFT PBE
# **Final energy**: -3.259 eV/atom
# **Mass density**: 10.59 g cm⁻³
data_LuHgB
_chemical_formula_sum 'Lu1 Hg1 B1'
_cell_length_a 4.4090
_cell_length_b 4.4090
_cell_length_c 4.4090
_cell_angle_alpha 60.00
_cell_angle_beta 60.00
_cell_angle_gamma 60.00
_symmetry_space_group_name_H-M 'P 1'
_symmetry_Int_Tables_number 1
loop_
_symmetry_equiv_pos_as_xyz
'x,y,z'
loop_
_atom_site_label
_atom_site_fract_x
_atom_site_fract_y
_atom_site_fract_z
_atom_site_occupancy
B1 0.2500 0.2500 0.2500 1
Hg1 0.0000 0.0000 0.0000 1
Lu1 0.7500 0.7500 0.7500 1


# Pr5ThBi6, optimized geometry, DFT PBE
# **Final energy**: -5.559 eV/atom
# **Mass density**: 8.66 g cm⁻³
data_Pr5ThBi6
_chemical_formula_sum 'Pr5 Th1 Bi6'
_cell_length_a 8.0108
_cell_length_b 8.0108
_cell_length_c 8.0114
_cell_angle_alpha 99.59
_cell_angle_beta 99.59
_cell_angle_gamma 119.98
_symmetry_space_group_name_H-M 'P 1'
_symmetry_Int_Tables_number 1
loop_
_symmetry_equiv_pos_as_xyz
'x,y,z'
loop_
_atom_site_label
_atom_site_fract_x
_atom_site_fract_y
_atom_site_fract_z
_atom_site_occupancy
Bi1 0.4134 0.0827 0.2485 1
Bi2 0.0827 0.4134 0.2485 1
Bi3 0.7525 0.7525 0.2488 1
Bi4 0.2475 0.2475 0.7512 1
Bi5 0.9173 0.5866 0.7515 1
Bi6 0.5866 0.9173 0.7515 1
Pr1 0.6663 0.3337 0.0000 1
Pr2 0.3337 0.6663 0.0000 1
Pr3 0.8322 0.1678 0.5000 1
Pr4 0.5000 0.5000 0.5000 1
Pr5 0.1678 0.8322 0.5000 1
Th1 0.0000 0.0000 0.0000 1


# LuFeCuAs, optimized geometry, DFT PBE
# **Final energy**: -5.352 eV/atom
# **Mass density**: 9.95 g cm⁻³
data_LuFeCuAs
_chemical_formula_sum 'Lu1 Fe1 Cu1 As1'
_cell_length_a 4.4333
_cell_length_b 4.4333
_cell_length_c 4.4333
_cell_angle_alpha 60.00
_cell_angle_beta 60.00
_cell_angle_gamma 60.00
_symmetry_space_group_name_H-M 'P 1'
_symmetry_Int_Tables_number 1
loop_
_symmetry_equiv_pos_as_xyz
'x,y,z'
loop_
_atom_site_label
_atom_site_fract_x
_atom_site_fract_y
_atom_site_fract_z
_atom_site_occupancy
As1 0.0000 0.0000 0.0000 1
Cu1 0.7500 0.7500 0.7500 1
Fe1 0.2500 0.2500 0.2500 1
Lu1 0.5000 0.5000 0.5000 1


# GdHoCu2As2P2, optimized geometry, DFT PBE
# **Final energy**: -5.484 eV/atom
# **Mass density**: 7.68 g cm⁻³
data_GdHoCu2As2P2
_chemical_formula_sum 'Gd1 Ho1 Cu2 As2 P2'
_cell_length_a 3.8224
_cell_length_b 3.8224
_cell_length_c 9.7785
_cell_angle_alpha 90.00
_cell_angle_beta 90.00
_cell_angle_gamma 90.00
_symmetry_space_group_name_H-M 'P 1'
_symmetry_Int_Tables_number 1
loop_
_symmetry_equiv_pos_as_xyz
'x,y,z'
loop_
_atom_site_label
_atom_site_fract_x
_atom_site_fract_y
_atom_site_fract_z
_atom_site_occupancy
As1 0.5000 0.0000 0.9977 1
As2 0.0000 0.5000 0.9977 1
Cu1 0.5000 0.0000 0.5013 1
Cu2 0.0000 0.5000 0.5013 1
Gd1 0.0000 0.0000 0.2424 1
Ho1 0.5000 0.5000 0.7566 1
P1 0.5000 0.5000 0.3495 1
P2 0.0000 0.0000 0.6536 1


# CsCd, optimized geometry, DFT PBE
# **Final energy**: -0.574 eV/atom
# **Mass density**: 2.64 g cm⁻³
data_CsCd
_chemical_formula_sum 'Cs1 Cd1'
_cell_length_a 6.0206
_cell_length_b 6.0206
_cell_length_c 6.0206
_cell_angle_alpha 60.00
_cell_angle_beta 60.00
_cell_angle_gamma 60.00
_symmetry_space_group_name_H-M 'P 1'
_symmetry_Int_Tables_number 1
loop_
_symmetry_equiv_pos_as_xyz
'x,y,z'
loop_
_atom_site_label
_atom_site_fract_x
_atom_site_fract_y
_atom_site_fract_z
_atom_site_occupancy
Cd1 0.0000 0.0000 0.0000 1
Cs1 0.2500 0.2500 0.2500 1


# BeFeCuB, optimized geometry, DFT PBE
# **Final energy**: -5.304 eV/atom
# **Mass density**: 6.43 g cm⁻³
data_BeFeCuB
_chemical_formula_sum 'Be1 Fe1 Cu1 B1'
_cell_length_a 3.7039
_cell_length_b 3.7039
_cell_length_c 3.7039
_cell_angle_alpha 60.00
_cell_angle_beta 60.00
_cell_angle_gamma 60.00
_symmetry_space_group_name_H-M 'P 1'
_symmetry_Int_Tables_number 1
loop_
_symmetry_equiv_pos_as_xyz
'x,y,z'
loop_
_atom_site_label
_atom_site_fract_x
_atom_site_fract_y
_atom_site_fract_z
_atom_site_occupancy
B1 0.0000 0.0000 0.0000 1
Be1 0.7500 0.7500 0.7500 1
Cu1 0.5000 0.5000 0.5000 1
Fe1 0.2500 0.2500 0.2500 1


# La2Nd2CI2Br3, optimized geometry, DFT PBE
# **Final energy**: -5.009 eV/atom
# **Mass density**: 5.43 g cm⁻³
data_La2Nd2CI2Br3
_chemical_formula_sum 'La2 Nd2 C1 I2 Br3'
_cell_length_a 9.8140
_cell_length_b 9.8140
_cell_length_c 8.6148
_cell_angle_alpha 102.45
_cell_angle_beta 102.45
_cell_angle_gamma 23.90
_symmetry_space_group_name_H-M 'P 1'
_symmetry_Int_Tables_number 1
loop_
_symmetry_equiv_pos_as_xyz
'x,y,z'
loop_
_atom_site_label
_atom_site_fract_x
_atom_site_fract_y
_atom_site_fract_z
_atom_site_occupancy
Br1 0.1608 0.1608 0.3317 1
Br2 0.5000 0.5000 0.5000 1
Br3 0.8392 0.8392 0.6683 1
C1 0.5000 0.5000 0.0000 1
I1 0.8261 0.8261 0.1837 1
I2 0.1739 0.1739 0.8163 1
La1 0.9995 0.9995 0.2074 1
La2 0.0005 0.0005 0.7926 1
Nd1 0.6352 0.6352 0.0717 1
Nd2 0.3648 0.3648 0.9283 1


# Lu2W4S3N3, optimized geometry, DFT PBE
# **Final energy**: -8.779 eV/atom
# **Mass density**: 11.61 g cm⁻³
data_Lu2W4S3N3
_chemical_formula_sum 'Lu4 W8 S6 N6'
_cell_length_a 5.9077
_cell_length_b 5.9077
_cell_length_c 12.7436
_cell_angle_alpha 109.14
_cell_angle_beta 109.14
_cell_angle_gamma 58.06
_symmetry_space_group_name_H-M 'P 1'
_symmetry_Int_Tables_number 1
loop_
_symmetry_equiv_pos_as_xyz
'x,y,z'
loop_
_atom_site_label
_atom_site_fract_x
_atom_site_fract_y
_atom_site_fract_z
_atom_site_occupancy
Lu1 0.3887 0.5315 0.1063 1
Lu2 0.4685 0.6113 0.3937 1
Lu3 0.5315 0.3887 0.6063 1
Lu4 0.6113 0.4685 0.8937 1
N1 0.0000 0.5000 0.0000 1
N2 0.3334 0.8205 0.0114 1
N3 0.1795 0.6666 0.4886 1
N4 0.5000 0.0000 0.5000 1
N5 0.8205 0.3334 0.5114 1
N6 0.6666 0.1795 0.9886 1
S1 0.4698 0.1745 0.2284 1
S2 0.0859 0.9141 0.2500 1
S3 0.8255 0.5302 0.2716 1
S4 0.1745 0.4698 0.7284 1
S5 0.9141 0.0859 0.7500 1
S6 0.5302 0.8255 0.7716 1
W1 0.7522 0.8842 0.0702 1
W2 0.0423 0.1471 0.1066 1
W3 0.8529 0.9577 0.3934 1
W4 0.1158 0.2478 0.4298 1
W5 0.8842 0.7522 0.5702 1
W6 0.1471 0.0423 0.6066 1
W7 0.9577 0.8529 0.8934 1
W8 0.2478 0.1158 0.9298 1


# BaTbPd, optimized geometry, DFT PBE
# **Final energy**: -4.111 eV/atom
# **Mass density**: 6.74 g cm⁻³
data_BaTbPd
_chemical_formula_sum 'Ba1 Tb1 Pd1'
_cell_length_a 5.1970
_cell_length_b 5.1970
_cell_length_c 5.1970
_cell_angle_alpha 60.00
_cell_angle_beta 60.00
_cell_angle_gamma 60.00
_symmetry_space_group_name_H-M 'P 1'
_symmetry_Int_Tables_number 1
loop_
_symmetry_equiv_pos_as_xyz
'x,y,z'
loop_
_atom_site_label
_atom_site_fract_x
_atom_site_fract_y
_atom_site_fract_z
_atom_site_occupancy
Ba1 0.5000 0.5000 0.5000 1
Pd1 0.2500 0.2500 0.2500 1
Tb1 0.0000 0.0000 0.0000 1


# TbTc, optimized geometry, DFT PBE
# **Final energy**: -6.575 eV/atom
# **Mass density**: 9.23 g cm⁻³
# **Formation enthalpy at 0 K**: 0.920 eV per atom
data_TbTc
_chemical_formula_sum 'Tb1 Tc1'
_cell_length_a 4.0278
_cell_length_b 4.0278
_cell_length_c 4.0278
_cell_angle_alpha 60.00
_cell_angle_beta 60.00
_cell_angle_gamma 60.00
_symmetry_space_group_name_H-M 'P 1'
_symmetry_Int_Tables_number 1
loop_
_symmetry_equiv_pos_as_xyz
'x,y,z'
loop_
_atom_site_label
_atom_site_fract_x
_atom_site_fract_y
_atom_site_fract_z
_atom_site_occupancy
Tb1 0.0000 0.0000 0.0000 1
Tc1 0.5000 0.5000 0.5000 1


# LuNiAgSn, optimized geometry, DFT PBE
# **Final energy**: -4.444 eV/atom
# **Mass density**: 10.05 g cm⁻³
data_LuNiAgSn
_chemical_formula_sum 'Lu1 Ni1 Ag1 Sn1'
_cell_length_a 4.7560
_cell_length_b 4.7560
_cell_length_c 4.7560
_cell_angle_alpha 60.00
_cell_angle_beta 60.00
_cell_angle_gamma 60.00
_symmetry_space_group_name_H-M 'P 1'
_symmetry_Int_Tables_number 1
loop_
_symmetry_equiv_pos_as_xyz
'x,y,z'
loop_
_atom_site_label
_atom_site_fract_x
_atom_site_fract_y
_atom_site_fract_z
_atom_site_occupancy
Ag1 0.5000 0.5000 0.5000 1
Lu1 0.2500 0.2500 0.2500 1
Ni1 0.7500 0.7500 0.7500 1
Sn1 0.0000 0.0000 0.0000 1


# HfZrCd, optimized geometry, DFT PBE
# **Final energy**: -5.918 eV/atom
# **Mass density**: 8.48 g cm⁻³
# **Formation enthalpy at 0 K**: 0.548 eV per atom
data_HfZrCd
_chemical_formula_sum 'Hf1 Zr1 Cd1'
_cell_length_a 4.7298
_cell_length_b 4.7298
_cell_length_c 4.7298
_cell_angle_alpha 60.00
_cell_angle_beta 60.00
_cell_angle_gamma 60.00
_symmetry_space_group_name_H-M 'P 1'
_symmetry_Int_Tables_number 1
loop_
_symmetry_equiv_pos_as_xyz
'x,y,z'
loop_
_atom_site_label
_atom_site_fract_x
_atom_site_fract_y
_atom_site_fract_z
_atom_site_occupancy
Cd1 0.0000 0.0000 0.0000 1
Hf1 0.2500 0.2500 0.2500 1
Zr1 0.7500 0.7500 0.7500 1